Record 1
# KRuW2 (meta-GGA SCAN, single point on PBEsol structure)
# Fermi-level density of states   2.484 states/eV/f.u.
# Volume   75.3 Å³/cell
# ΔH_f (0 K)   0.8789 eV per atom
# Excess energy over the best structure of this formula in the dataset   0.00 eV/f.u.
data_KRuW2
_chemical_formula_sum 'K1 Ru1 W2'
_cell_length_a 2.812
_cell_length_b 2.812
_cell_length_c 9.530
_cell_angle_alpha 90.00
_cell_angle_beta 90.00
_cell_angle_gamma 90.00
_symmetry_space_group_name_H-M 'P 4 m m'
_symmetry_Int_Tables_number 99
_symmetry_space_group_name_Hall 'P 4 -2'
loop_
_atom_site_label
_atom_site_type_symbol
_atom_site_fract_x
_atom_site_fract_y
_atom_site_fract_z
_atom_site_occupancy
K1 K 0.000 0.000 0.000 1
Ru1 Ru 0.500 0.500 0.286 1
W1 W 0.000 0.000 0.457 1
W2 W 0.500 0.500 0.673 1

Record 2
# KRuW (meta-GGA SCAN, single point on PBEsol structure)
# Fermi-level density of states   4.356 states/eV/f.u.
# Volume   131.4 Å³/cell
# ΔH_f (0 K)   0.9063 eV per atom
data_KRuW
_chemical_formula_sum 'K2 Ru2 W2'
_cell_length_a 3.056
_cell_length_b 3.056
_cell_length_c 14.071
_cell_angle_alpha 90.00
_cell_angle_beta 90.00
_cell_angle_gamma 90.00
_symmetry_space_group_name_H-M 'I 4 m m'
_symmetry_Int_Tables_number 107
_symmetry_space_group_name_Hall 'I 4 -2'
loop_
_atom_site_label
_atom_site_type_symbol
_atom_site_fract_x
_atom_site_fract_y
_atom_site_fract_z
_atom_site_occupancy
K1 K 0.000 0.000 0.000 1
Ru1 Ru 0.000 0.000 0.692 1
W1 W 0.000 0.000 0.280 1

Record 3
# KRuW2 (meta-GGA SCAN, single point on PBEsol structure)
# Fermi-level density of states   3.102 states/eV/f.u.
# Volume   66.9 Å³/cell
# ΔH_f (0 K)   1.6956 eV per atom
# Excess energy over the best structure of this formula in the dataset   3.27 eV/f.u.
data_KRuW2
_chemical_formula_sum 'K1 Ru1 W2'
_cell_length_a 2.945
_cell_length_b 4.658
_cell_length_c 4.877
_cell_angle_alpha 90.00
_cell_angle_beta 90.00
_cell_angle_gamma 90.00
_symmetry_space_group_name_H-M 'P m m m'
_symmetry_Int_Tables_number 47
_symmetry_space_group_name_Hall '-P 2 2'
loop_
_atom_site_label
_atom_site_type_symbol
_atom_site_fract_x
_atom_site_fract_y
_atom_site_fract_z
_atom_site_occupancy
K1 K 0.000 0.000 0.000 1
Ru1 Ru 0.500 0.500 0.000 1
W1 W 0.000 0.500 0.500 1
W2 W 0.500 0.000 0.500 1

Record 4
# KY2Ru (meta-GGA SCAN, single point on PBEsol structure)
# Fermi-level density of states   3.459 states/eV/f.u.
# Volume   337.5 Å³/cell
# ΔH_f (0 K)   0.4845 eV per atom
data_KY2Ru
_chemical_formula_sum 'K3 Y6 Ru3'
_cell_length_a 3.4156
_cell_length_b 3.4156
_cell_length_c 33.4042
_cell_angle_alpha 90.00
_cell_angle_beta 90.00
_cell_angle_gamma 120.00
_symmetry_space_group_name_H-M 'R 3 m'
_symmetry_Int_Tables_number 160
_symmetry_space_group_name_Hall 'R 3 -2"'
loop_
_atom_site_label
_atom_site_type_symbol
_atom_site_fract_x
_atom_site_fract_y
_atom_site_fract_z
_atom_site_occupancy
K1 K 0.0000 0.0000 0.0000 1
Y1 Y 0.0000 0.0000 0.2232 1
Y2 Y 0.0000 0.0000 0.4636 1
Ru1 Ru 0.0000 0.0000 0.7432 1

Record 5
# KZn2Ru (meta-GGA SCAN, single point on PBEsol structure)
# Fermi-level density of states   1.849 states/eV/f.u.
# Volume   69.7 Å³/cell
# ΔH_f (0 K)   0.6693 eV per atom
# Excess energy over the best structure of this formula in the dataset   0.00 eV/f.u.
data_KZn2Ru
_chemical_formula_sum 'K1 Zn2 Ru1'
_cell_length_a 4.966
_cell_length_b 2.657
_cell_length_c 5.363
_cell_angle_alpha 90.00
_cell_angle_beta 99.97
_cell_angle_gamma 90.00
_symmetry_space_group_name_H-M 'P 1 2/m 1'
_symmetry_Int_Tables_number 10
_symmetry_space_group_name_Hall '-P 2y'
loop_
_atom_site_label
_atom_site_type_symbol
_atom_site_fract_x
_atom_site_fract_y
_atom_site_fract_z
_atom_site_occupancy
K1 K 0.000 0.000 0.000 1
Zn1 Zn 0.000 0.000 0.500 1
Zn2 Zn 0.500 0.500 0.000 1
Ru1 Ru 0.500 0.500 0.500 1

Record 6
# KZn2Ru (meta-GGA SCAN, single point on PBEsol structure)
# Fermi-level density of states   1.921 states/eV/f.u.
# Volume   71.7 Å³/cell
# ΔH_f (0 K)   0.8197 eV per atom
# Excess energy over the best structure of this formula in the dataset   0.60 eV/f.u.
data_KZn2Ru
_chemical_formula_sum 'K1 Zn2 Ru1'
_cell_length_a 2.558
_cell_length_b 5.084
_cell_length_c 5.513
_cell_angle_alpha 90.00
_cell_angle_beta 90.00
_cell_angle_gamma 90.00
_symmetry_space_group_name_H-M 'P m m m'
_symmetry_Int_Tables_number 47
_symmetry_space_group_name_Hall '-P 2 2'
loop_
_atom_site_label
_atom_site_type_symbol
_atom_site_fract_x
_atom_site_fract_y
_atom_site_fract_z
_atom_site_occupancy
K1 K 0.000 0.000 0.000 1
Zn1 Zn 0.000 0.500 0.500 1
Zn2 Zn 0.500 0.500 0.000 1
Ru1 Ru 0.500 0.000 0.500 1

Record 7
# KZr2ZnRu (meta-GGA SCAN, single point on PBEsol structure)
# Fermi-level density of states   6.583 states/eV/f.u.
# Volume   117.9 Å³/cell
# ΔH_f (0 K)   1.0042 eV per atom
data_KZr2ZnRu
_chemical_formula_sum 'K1 Zr2 Zn1 Ru1'
_cell_length_a 5.056
_cell_length_b 5.056
_cell_length_c 4.614
_cell_angle_alpha 90.00
_cell_angle_beta 90.00
_cell_angle_gamma 90.00
_symmetry_space_group_name_H-M 'P 4/m m m'
_symmetry_Int_Tables_number 123
_symmetry_space_group_name_Hall '-P 4 2'
loop_
_atom_site_label
_atom_site_type_symbol
_atom_site_fract_x
_atom_site_fract_y
_atom_site_fract_z
_atom_site_occupancy
K1 K 0.000 0.000 0.000 1
Zr1 Zr 0.000 0.500 0.500 1
Zn1 Zn 0.500 0.500 0.500 1
Ru1 Ru 0.500 0.500 0.000 1

Record 8
# KZrRu2 (meta-GGA SCAN, single point on PBEsol structure)
# Fermi-level density of states   3.430 states/eV/f.u.
# Volume   91.6 Å³/cell
# ΔH_f (0 K)   0.3814 eV per atom
data_KZrRu2
_chemical_formula_sum 'K1 Zr1 Ru2'
_cell_length_a 2.873
_cell_length_b 3.716
_cell_length_c 8.579
_cell_angle_alpha 90.00
_cell_angle_beta 90.00
_cell_angle_gamma 90.00
_symmetry_space_group_name_H-M 'P m m 2'
_symmetry_Int_Tables_number 25
_symmetry_space_group_name_Hall 'P 2 -2'
loop_
_atom_site_label
_atom_site_type_symbol
_atom_site_fract_x
_atom_site_fract_y
_atom_site_fract_z
_atom_site_occupancy
K1 K 0.000 0.000 0.000 1
Zr1 Zr 0.500 0.500 0.601 1
Ru1 Ru 0.000 0.000 0.412 1
Ru2 Ru 0.500 0.500 0.305 1

Record 9
# KS3 (meta-GGA SCAN, single point on PBEsol structure)
# Fermi-level density of states   0.000 states/eV/f.u.
# Volume   851.7 Å³/cell
# ΔE_f (raw)   -0.619 eV per atom
data_KS3
_chemical_formula_sum 'K8 S24'
_cell_length_a 6.406
_cell_length_b 11.870
_cell_length_c 11.690
_cell_angle_alpha 90.00
_cell_angle_beta 106.64
_cell_angle_gamma 90.00
_symmetry_space_group_name_H-M 'P 1 21/c 1'
_symmetry_Int_Tables_number 14
_symmetry_space_group_name_Hall '-P 2ybc'
loop_
_atom_site_label
_atom_site_type_symbol
_atom_site_fract_x
_atom_site_fract_y
_atom_site_fract_z
_atom_site_occupancy
K1 K 0.209 0.118 0.423 1
K2 K 0.285 0.639 0.478 1
S1 S 0.032 0.083 0.843 1
S2 S 0.124 0.179 0.723 1
S3 S 0.209 0.122 0.014 1
S4 S 0.275 0.612 0.059 1
S5 S 0.427 0.554 0.227 1
S6 S 0.449 0.116 0.727 1

Record 10
# KSb5S8 (meta-GGA SCAN, single point on PBEsol structure)
# Volume   1391.4 Å³/cell
# ΔE_f (raw)   -0.425 eV per atom
data_KSb5S8
_chemical_formula_sum 'K4 Sb20 S32'
_cell_length_a 8.153
_cell_length_b 19.274
_cell_length_c 11.832
_cell_angle_alpha 90.00
_cell_angle_beta 131.56
_cell_angle_gamma 90.00
_symmetry_space_group_name_H-M 'P 1 c 1'
_symmetry_Int_Tables_number 7
_symmetry_space_group_name_Hall 'P -2yc'
loop_
_atom_site_label
_atom_site_type_symbol
_atom_site_fract_x
_atom_site_fract_y
_atom_site_fract_z
_atom_site_occupancy
K1 K 0.000 0.049 0.000 1
K2 K 0.075 0.444 0.264 1
Sb1 Sb 0.070 0.135 0.737 1
Sb2 Sb 0.259 0.263 0.252 1
Sb3 Sb 0.279 0.227 0.551 1
Sb4 Sb 0.450 0.367 0.055 1
Sb5 Sb 0.502 0.048 0.470 1
Sb6 Sb 0.505 0.457 0.718 1
Sb7 Sb 0.677 0.152 0.288 1
Sb8 Sb 0.678 0.211 0.001 1
Sb9 Sb 0.873 0.285 0.806 1
Sb10 Sb 0.913 0.352 0.532 1
S1 S 0.045 0.157 0.219 1
S2 S 0.061 0.400 0.849 1
S3 S 0.084 0.111 0.537 1
S4 S 0.094 0.461 0.544 1
S5 S 0.260 0.277 0.735 1
S6 S 0.293 0.225 0.071 1
S7 S 0.441 0.084 0.960 1
S8 S 0.478 0.400 0.268 1
S9 S 0.511 0.344 0.595 1
S10 S 0.518 0.035 0.272 1
S11 S 0.553 0.491 0.051 1
S12 S 0.638 0.195 0.469 1
S13 S 0.659 0.166 0.799 1
S14 S 0.862 0.323 0.005 1
S15 S 0.890 0.020 0.692 1
S16 S 0.905 0.292 0.341 1

Record 11
# K3SbS (meta-GGA SCAN, single point on PBEsol structure)
# Fermi-level density of states   8.266 states/eV/f.u.
# Volume   269.0 Å³/cell
# ΔE_f (raw)   -0.059 eV per atom
data_K3SbS
_chemical_formula_sum 'K3 Sb1 S1'
_cell_length_a 6.455
_cell_length_b 6.455
_cell_length_c 6.455
_cell_angle_alpha 90.00
_cell_angle_beta 90.00
_cell_angle_gamma 90.00
_symmetry_space_group_name_H-M 'P m -3 m'
_symmetry_Int_Tables_number 221
_symmetry_space_group_name_Hall '-P 4 2 3'
loop_
_atom_site_label
_atom_site_type_symbol
_atom_site_fract_x
_atom_site_fract_y
_atom_site_fract_z
_atom_site_occupancy
K1 K 0.000 0.000 0.500 1
Sb1 Sb 0.000 0.000 0.000 1
S1 S 0.500 0.500 0.500 1

Record 12
# K2SbS2 (meta-GGA SCAN, single point on PBEsol structure)
# Fermi-level density of states   1.274 states/eV/f.u.
# Volume   255.2 Å³/cell
# ΔE_f (raw)   -0.797 eV per atom
data_K2SbS2
_chemical_formula_sum 'K4 Sb2 S4'
_cell_length_a 7.576
_cell_length_b 7.576
_cell_length_c 4.447
_cell_angle_alpha 90.00
_cell_angle_beta 90.00
_cell_angle_gamma 90.00
_symmetry_space_group_name_H-M 'P 4/m b m'
_symmetry_Int_Tables_number 127
_symmetry_space_group_name_Hall '-P 4 2ab'
loop_
_atom_site_label
_atom_site_type_symbol
_atom_site_fract_x
_atom_site_fract_y
_atom_site_fract_z
_atom_site_occupancy
K1 K 0.137 0.363 0.000 1
Sb1 Sb 0.000 0.000 0.500 1
S1 S 0.178 0.678 0.500 1

Record 13
# KSbTe2S (meta-GGA SCAN, single point on PBEsol structure)
# Fermi-level density of states   6.471 states/eV/f.u.
# Volume   193.8 Å³/cell
# ΔE_f (raw)   1.409 eV per atom
data_KSbTe2S
_chemical_formula_sum 'K1 Sb1 Te2 S1'
_cell_length_a 5.760
_cell_length_b 5.760
_cell_length_c 5.841
_cell_angle_alpha 90.00
_cell_angle_beta 90.00
_cell_angle_gamma 90.00
_symmetry_space_group_name_H-M 'P 4/m m m'
_symmetry_Int_Tables_number 123
_symmetry_space_group_name_Hall '-P 4 2'
loop_
_atom_site_label
_atom_site_type_symbol
_atom_site_fract_x
_atom_site_fract_y
_atom_site_fract_z
_atom_site_occupancy
K1 K 0.000 0.000 0.000 1
Sb1 Sb 0.000 0.000 0.500 1
Te1 Te 0.000 0.500 0.000 1
S1 S 0.500 0.500 0.500 1

Record 14
# KSbW2S (meta-GGA SCAN, single point on PBEsol structure)
# Fermi-level density of states   4.025 states/eV/f.u.
# Volume   110.5 Å³/cell
# ΔE_f (raw)   1.287 eV per atom
data_KSbW2S
_chemical_formula_sum 'K1 Sb1 W2 S1'
_cell_length_a 4.466
_cell_length_b 4.466
_cell_length_c 5.541
_cell_angle_alpha 90.00
_cell_angle_beta 90.00
_cell_angle_gamma 90.00
_symmetry_space_group_name_H-M 'P 4/m m m'
_symmetry_Int_Tables_number 123
_symmetry_space_group_name_Hall '-P 4 2'
loop_
_atom_site_label
_atom_site_type_symbol
_atom_site_fract_x
_atom_site_fract_y
_atom_site_fract_z
_atom_site_occupancy
K1 K 0.000 0.000 0.000 1
Sb1 Sb 0.500 0.500 0.000 1
W1 W 0.000 0.500 0.500 1
S1 S 0.500 0.500 0.500 1

Record 15
# K2SeS2 (meta-GGA SCAN, single point on PBEsol structure)
# Fermi-level density of states   0.263 states/eV/f.u.
# Volume   238.3 Å³/cell
# ΔE_f (raw)   -0.720 eV per atom
data_K2SeS2
_chemical_formula_sum 'K4 Se2 S4'
_cell_length_a 7.105
_cell_length_b 7.105
_cell_length_c 4.721
_cell_angle_alpha 90.00
_cell_angle_beta 90.00
_cell_angle_gamma 90.00
_symmetry_space_group_name_H-M 'P 4/m b m'
_symmetry_Int_Tables_number 127
_symmetry_space_group_name_Hall '-P 4 2ab'
loop_
_atom_site_label
_atom_site_type_symbol
_atom_site_fract_x
_atom_site_fract_y
_atom_site_fract_z
_atom_site_occupancy
K1 K 0.152 0.348 0.000 1
Se1 Se 0.000 0.000 0.500 1
S1 S 0.167 0.667 0.500 1

Record 16
# KSeS2 (meta-GGA SCAN, single point on PBEsol structure)
# Fermi-level density of states   1.566 states/eV/f.u.
# Volume   506.8 Å³/cell
# ΔE_f (raw)   -0.240 eV per atom
data_KSeS2
_chemical_formula_sum 'K4 Se4 S8'
_cell_length_a 6.207
_cell_length_b 6.207
_cell_length_c 13.156
_cell_angle_alpha 90.00
_cell_angle_beta 90.00
_cell_angle_gamma 90.00
_symmetry_space_group_name_H-M 'I -4 2 d'
_symmetry_Int_Tables_number 122
_symmetry_space_group_name_Hall 'I -4 2bw'
loop_
_atom_site_label
_atom_site_type_symbol
_atom_site_fract_x
_atom_site_fract_y
_atom_site_fract_z
_atom_site_occupancy
K1 K 0.000 0.000 0.000 1
Se1 Se 0.000 0.000 0.500 1
S1 S 0.138 0.250 0.625 1

Record 17
# KSmS2 (meta-GGA SCAN, single point on PBEsol structure)
# Fermi-level density of states   0.000 states/eV/f.u.
# Volume   314.3 Å³/cell
# ΔE_f (raw)   -2.147 eV per atom
data_KSmS2
_chemical_formula_sum 'K3 Sm3 S6'
_cell_length_a 4.0796
_cell_length_b 4.0796
_cell_length_c 21.8086
_cell_angle_alpha 90.00
_cell_angle_beta 90.00
_cell_angle_gamma 120.00
_symmetry_space_group_name_H-M 'R -3 m'
_symmetry_Int_Tables_number 166
_symmetry_space_group_name_Hall '-R 3 2"'
loop_
_atom_site_label
_atom_site_type_symbol
_atom_site_fract_x
_atom_site_fract_y
_atom_site_fract_z
_atom_site_occupancy
K1 K 0.0000 0.0000 0.0000 1
Sm1 Sm 0.0000 0.0000 0.5000 1
S1 S 0.0000 0.0000 0.2357 1

Record 18
# K2SnS3 (meta-GGA SCAN, single point on PBEsol structure)
# Fermi-level density of states   0.000 states/eV/f.u.
# Volume   326.1 Å³/cell
# ΔE_f (raw)   -1.050 eV per atom
data_K2SnS3
_chemical_formula_sum 'K4 Sn2 S6'
_cell_length_a 3.896
_cell_length_b 7.429
_cell_length_c 11.437
_cell_angle_alpha 90.00
_cell_angle_beta 99.80
_cell_angle_gamma 90.00
_symmetry_space_group_name_H-M 'P 1 21/m 1'
_symmetry_Int_Tables_number 11
_symmetry_space_group_name_Hall '-P 2yb'
loop_
_atom_site_label
_atom_site_type_symbol
_atom_site_fract_x
_atom_site_fract_y
_atom_site_fract_z
_atom_site_occupancy
K1 K 0.000 0.250 0.001 1
K2 K 0.168 0.750 0.335 1
Sn1 Sn 0.356 0.750 0.711 1
S1 S 0.213 0.250 0.428 1
S2 S 0.413 0.012 0.826 1

Record 19
# K6Sn2S7 (meta-GGA SCAN, single point on PBEsol structure)
# Fermi-level density of states   0.000 states/eV/f.u.
# Volume   1787.6 Å³/cell
# ΔE_f (raw)   -1.159 eV per atom
data_K6Sn2S7
_chemical_formula_sum 'K24 Sn8 S28'
_cell_length_a 9.620
_cell_length_b 12.999
_cell_length_c 14.295
_cell_angle_alpha 90.00
_cell_angle_beta 90.00
_cell_angle_gamma 90.00
_symmetry_space_group_name_H-M 'P 21 21 21'
_symmetry_Int_Tables_number 19
_symmetry_space_group_name_Hall 'P 2ac 2ab'
loop_
_atom_site_label
_atom_site_type_symbol
_atom_site_fract_x
_atom_site_fract_y
_atom_site_fract_z
_atom_site_occupancy
K1 K 0.025 0.161 0.188 1
K2 K 0.060 0.817 0.883 1
K3 K 0.143 0.570 0.085 1
K4 K 0.153 0.653 0.644 1
K5 K 0.227 0.861 0.436 1
K6 K 0.246 0.109 0.627 1
Sn1 Sn 0.073 0.390 0.860 1
Sn2 Sn 0.122 0.392 0.383 1
S1 S 0.020 0.507 0.493 1
S2 S 0.021 0.413 0.234 1
S3 S 0.088 0.325 0.013 1
S4 S 0.118 0.220 0.441 1
S5 S 0.124 0.577 0.861 1
S6 S 0.164 0.891 0.686 1
S7 S 0.214 0.299 0.753 1

Record 20
# K3SnS (meta-GGA SCAN, single point on PBEsol structure)
# Fermi-level density of states   3.176 states/eV/f.u.
# Volume   269.6 Å³/cell
# ΔE_f (raw)   0.118 eV per atom
data_K3SnS
_chemical_formula_sum 'K3 Sn1 S1'
_cell_length_a 6.460
_cell_length_b 6.460
_cell_length_c 6.460
_cell_angle_alpha 90.00
_cell_angle_beta 90.00
_cell_angle_gamma 90.00
_symmetry_space_group_name_H-M 'P m -3 m'
_symmetry_Int_Tables_number 221
_symmetry_space_group_name_Hall '-P 4 2 3'
loop_
_atom_site_label
_atom_site_type_symbol
_atom_site_fract_x
_atom_site_fract_y
_atom_site_fract_z
_atom_site_occupancy
K1 K 0.000 0.000 0.500 1
Sn1 Sn 0.000 0.000 0.000 1
S1 S 0.500 0.500 0.500 1